Entry 1:
Here is a relaxed Na2CdAsH crystal from Alexandria via LeMat-Bulk. Energies are from PBE.

## Properties
Its symmetry is P4/mmm (123). The density of states at the Fermi level comes out at 0.153 states/eV/atom. Its offset from the most stable computed form is 0 meV/atom. Its electronic total energy is -2.48 eV per atom. The mass density is 4.4 Mg/m³.

```
Na2CdAsH
1.0
-3.8447 0.1910 -2.0125
-0.8143 -4.1042 1.1662
-2.0172 1.5367 3.9995
Na As Cd H
2 1 1 1
Direct
0.0000 0.5000 0.0000
0.5000 0.0000 0.0000
0.5000 0.5000 0.5000
0.0000 0.0000 0.5000
0.0000 0.0000 0.0000
```

***

Entry 2:
Here is a relaxed Cd2NiAsH crystal from Alexandria via LeMat-Bulk. Energies are from PBE.

## Properties
Its symmetry is P4/mmm (123). The density of states at the Fermi level comes out at 0.287 states/eV/atom. Its electronic total energy is -2.86 eV per atom. The mass density is 7.0 Mg/m³.

```
Cd2NiAsH
1.0
-4.3301 0.1530 -3.0019
-1.4098 -1.9456 1.9345
-1.7974 4.0875 2.8011
H Ni Cd As
1 1 2 1
Direct
0.0000 0.5000 0.0000
0.0000 0.0000 0.0000
0.0000 0.0000 0.5000
0.5000 0.0000 0.0000
0.5000 0.5000 0.5000
```

***

Entry 3:
Here is a relaxed Cd2AsHPt6 crystal from Alexandria via LeMat-Bulk. Energies are from PBE.

## Properties
Its symmetry is Cm (8). The density of states at the Fermi level comes out at 0.316 states/eV/atom. Its electronic total energy is -4.81 eV per atom. The mass density is 14.7 Mg/m³.

```
Cd2AsHPt6
1.0
-4.4210 -4.7892 2.0639
3.9293 -3.9620 -0.7842
0.8558 4.1116 3.7595
Pt H Cd As
6 1 2 1
Direct
0.7600 0.7559 0.0055
0.1479 0.2185 0.4355
0.7588 0.7550 0.5099
0.1465 0.2175 0.9284
0.1470 0.7125 0.9287
0.7593 0.2494 0.0049
0.2792 0.0935 0.1848
0.7237 0.2419 0.4836
0.3170 0.7723 0.5433
0.4595 0.4873 0.9735
```

***

Entry 4:
Here is a relaxed CdSnAs2H crystal from Alexandria via LeMat-Bulk. Energies are from PBE.

## Properties
Its symmetry is P4/mmm (123). The density of states at the Fermi level comes out at 0.418 states/eV/atom. Its electronic total energy is -3.09 eV per atom. The mass density is 6.7 Mg/m³.

```
CdSnAs2H
1.0
-1.7470 1.8391 3.5386
2.0034 -3.5623 2.8405
3.5823 2.4214 0.5101
As Cd Sn H
2 1 1 1
Direct
0.5000 0.0000 0.0000
0.0000 0.0000 0.5000
0.0000 0.5000 0.0000
0.5000 0.5000 0.5000
0.0000 0.0000 0.0000
```

***

Entry 5:
Here is a relaxed CdSn2AsH crystal from Alexandria via LeMat-Bulk. Energies are from PBE.

## Properties
Its symmetry is P4/mmm (123). The density of states at the Fermi level comes out at 0.392 states/eV/atom. Its electronic total energy is -3.09 eV per atom. The mass density is 6.8 Mg/m³.

```
CdSn2AsH
1.0
-2.2834 1.3072 4.5883
-1.7915 -3.2710 0.0403
4.0381 -2.1793 2.6305
H Sn As Cd
1 2 1 1
Direct
0.0000 0.0000 0.0000
0.5000 0.0000 0.0000
0.0000 0.0000 0.5000
0.0000 0.5000 0.0000
0.5000 0.5000 0.5000
```

***

Entry 6:
Here is a relaxed TaCd2AsH crystal from Alexandria via LeMat-Bulk. Energies are from PBE.

## Properties
Its symmetry is P4/mmm (123). The density of states at the Fermi level comes out at 0.882 states/eV/atom. Its electronic total energy is -3.05 eV per atom. The mass density is 5.8 Mg/m³.

```
TaCd2AsH
1.0
5.2956 0.0000 0.0000
0.0000 4.8901 0.0000
0.0000 0.0000 5.2956
Cd As Ta H
2 1 1 1
Direct
0.0000 0.0000 0.5000
0.5000 0.0000 0.0000
0.0000 0.0000 0.0000
0.0000 0.5000 0.0000
0.5000 0.5000 0.5000
```

***

Entry 7:
Here is a relaxed HfCdAs2 crystal from Alexandria via LeMat-Bulk. Energies are from PBE.

## Properties
Its symmetry is I-42d (122). The density of states at the Fermi level comes out at 0.000 states/eV/atom. Its electronic total energy is -5.34 eV per atom. The mass density is 6.4 Mg/m³.

```
HfCdAs2
1.0
-2.5532 0.0621 -5.5955
2.2994 -5.5955 -1.1113
-5.1659 -5.2885 -1.0822
Hf Cd As
2 2 4
Direct
0.7500 0.2500 0.5000
0.0000 0.0000 0.0000
0.2500 0.7500 0.5000
0.5000 0.5000 0.0000
0.6412 0.1250 0.2500
0.3750 0.3588 0.7500
0.1088 0.6250 0.2500
0.8750 0.8912 0.7500
```

***

Entry 8:
Here is a relaxed Hf2Cd2As crystal from Alexandria via LeMat-Bulk. Energies are from PBE.

## Properties
Its symmetry is P4/mbm (127). The density of states at the Fermi level comes out at 0.888 states/eV/atom. Its electronic total energy is -5.50 eV per atom. The mass density is 9.6 Mg/m³.

```
Hf2Cd2As
1.0
-1.6362 -5.2146 4.1986
3.6227 -4.3243 -3.9590
3.9041 0.8787 2.6127
Hf As Cd
4 2 4
Direct
0.8418 0.6582 0.0000
0.3418 0.8418 0.0000
0.1582 0.3418 0.0000
0.6582 0.1582 0.0000
0.5000 0.5000 0.0000
0.0000 0.0000 0.0000
0.1486 0.6486 0.5000
0.6486 0.8514 0.5000
0.3514 0.1486 0.5000
0.8514 0.3514 0.5000
```

***

Entry 9:
Here is a relaxed HfCd3As crystal from Alexandria via LeMat-Bulk. Energies are from PBE.

## Properties
Its symmetry is Pm-3m (221). The density of states at the Fermi level comes out at 1.135 states/eV/atom. Its offset from the most stable computed form is 0 meV/atom. Its electronic total energy is -2.65 eV per atom. The mass density is 7.3 Mg/m³.

```
HfCd3As
1.0
-0.9562 1.2651 -4.8818
-4.6452 -2.1554 0.3513
-1.9634 4.4834 1.5464
Cd As Hf
3 1 1
Direct
0.5000 0.0000 0.0000
0.0000 0.0000 0.5000
0.0000 0.5000 0.0000
0.0000 0.0000 0.0000
0.5000 0.5000 0.5000
```

***

Entry 10:
Here is a relaxed HfCdAs2 crystal from Alexandria via LeMat-Bulk. Energies are from PBE.

## Properties
Its symmetry is R3m (160). The density of states at the Fermi level comes out at 0.394 states/eV/atom. Its electronic total energy is -5.44 eV per atom. The mass density is 8.2 Mg/m³.

```
HfCdAs2
1.0
-1.9143 1.5009 -3.0675
-3.8748 0.5298 0.1791
-0.9714 6.8642 1.4665
As Cd Hf
2 1 1
Direct
0.0772 0.0772 0.7684
0.2575 0.2575 0.2275
0.4991 0.4991 0.5027
0.6662 0.6662 0.0014
```

***

Entry 11:
Here is a relaxed HfCd3As crystal from Alexandria via LeMat-Bulk. Energies are from PBE.

## Properties
Its symmetry is Pm-3m (221). The density of states at the Fermi level comes out at 1.346 states/eV/atom. Its offset from the most stable computed form is 314 meV/atom. Its electronic total energy is -2.34 eV per atom. The mass density is 5.8 Mg/m³.

```
HfCd3As
1.0
5.5156 0.0000 0.0000
0.0000 5.5156 0.0000
0.0000 0.0000 5.5156
Cd As Hf
3 1 1
Direct
0.0000 0.5000 0.0000
0.5000 0.0000 0.0000
0.0000 0.0000 0.5000
0.5000 0.5000 0.5000
0.0000 0.0000 0.0000
```

***

Entry 12:
Here is a relaxed Hf2CdAs crystal from Alexandria via LeMat-Bulk. Energies are from PBE.

## Properties
Its symmetry is Fm-3m (225). The density of states at the Fermi level comes out at 0.921 states/eV/atom. Its offset from the most stable computed form is 247 meV/atom. Its electronic total energy is -6.50 eV per atom. The mass density is 11.3 Mg/m³.

```
Hf2CdAs
1.0
0.0000 3.4177 3.4177
3.4177 0.0000 3.4177
3.4177 3.4177 0.0000
As Hf Cd
1 2 1
Direct
0.0000 0.0000 0.0000
0.2500 0.2500 0.2500
0.7500 0.7500 0.7500
0.5000 0.5000 0.5000
```

***

Entry 13:
Here is a relaxed Hf2CdAs crystal from Alexandria via LeMat-Bulk. Energies are from PBE.

## Properties
Its symmetry is R-3m (166). The density of states at the Fermi level comes out at 0.665 states/eV/atom. Its offset from the most stable computed form is 0 meV/atom. Its electronic total energy is -6.74 eV per atom. The mass density is 10.4 Mg/m³.

```
Hf2CdAs
1.0
-3.5833 -0.4738 0.0483
-1.7228 -1.0659 -2.9939
-0.7734 -7.8326 1.0513
As Hf Cd
1 2 1
Direct
0.0000 0.0000 0.0000
0.7367 0.7367 0.7899
0.2633 0.2633 0.2101
0.5000 0.5000 0.5000
```

***

Entry 14:
Here is a relaxed Hf2CdAs2 crystal from Alexandria via LeMat-Bulk. Energies are from PBE.

## Properties
Its symmetry is P4/mbm (127). The density of states at the Fermi level comes out at 0.533 states/eV/atom. Its electronic total energy is -6.53 eV per atom. The mass density is 10.1 Mg/m³.

```
Hf2CdAs2
1.0
-0.6221 5.5902 5.1323
-6.4776 2.2917 -3.2813
-1.8173 -2.1300 2.0998
As Cd Hf
4 2 4
Direct
0.3504 0.1496 0.5000
0.8504 0.3504 0.5000
0.1496 0.6496 0.5000
0.6496 0.8504 0.5000
0.5000 0.5000 0.0000
0.0000 0.0000 0.0000
0.1425 0.3575 0.0000
0.8575 0.6425 0.0000
0.3575 0.8575 0.0000
0.6425 0.1425 0.0000
```

***

Entry 15:
Here is a relaxed Hf2CdAs2 crystal from Alexandria via LeMat-Bulk. Energies are from PBE.

## Properties
Its symmetry is P4/mbm (127). The density of states at the Fermi level comes out at 0.563 states/eV/atom. Its electronic total energy is -6.54 eV per atom. The mass density is 10.4 Mg/m³.

```
Hf2CdAs2
1.0
7.5621 0.0000 0.0000
0.0000 7.5621 0.0000
0.0000 0.0000 3.4578
Hf As Cd
4 4 2
Direct
0.3573 0.1427 0.5000
0.6427 0.8573 0.5000
0.8573 0.3573 0.5000
0.1427 0.6427 0.5000
0.8523 0.6477 0.0000
0.3523 0.8523 0.0000
0.1477 0.3523 0.0000
0.6477 0.1477 0.0000
0.5000 0.5000 0.0000
0.0000 0.0000 0.0000
```

***

Entry 16:
Here is a relaxed HfCd2As2 crystal from Alexandria via LeMat-Bulk. Energies are from PBE.

## Properties
Its symmetry is P4/mbm (127). The density of states at the Fermi level comes out at 0.396 states/eV/atom. Its electronic total energy is -4.35 eV per atom. The mass density is 8.6 Mg/m³.

```
HfCd2As2
1.0
-2.2293 -2.9840 -6.2106
3.8700 -5.9429 1.4663
-3.2121 -1.6157 1.9293
As Hf Cd
4 2 4
Direct
0.6622 0.1622 0.0000
0.3378 0.8378 0.0000
0.8378 0.6622 0.0000
0.1622 0.3378 0.0000
0.5000 0.5000 0.0000
0.0000 0.0000 0.0000
0.8475 0.3475 0.5000
0.1525 0.6525 0.5000
0.6525 0.8475 0.5000
0.3475 0.1525 0.5000
```

***

Entry 17:
Here is a relaxed Hf2CdAs crystal from Alexandria via LeMat-Bulk. Energies are from PBE.

## Properties
Its symmetry is I-42d (122). The density of states at the Fermi level comes out at 0.755 states/eV/atom. Its offset from the most stable computed form is 244 meV/atom. Its electronic total energy is -6.50 eV per atom. The mass density is 10.5 Mg/m³.

```
Hf2CdAs
1.0
-2.4466 6.5473 2.8599
-7.1386 -2.3646 -0.6934
-4.6751 0.9224 3.8600
Hf Cd As
4 2 2
Direct
0.6015 0.1250 0.2500
0.1485 0.6250 0.2500
0.3750 0.3985 0.7500
0.8750 0.8515 0.7500
0.0000 0.0000 0.0000
0.7500 0.2500 0.5000
0.2500 0.7500 0.5000
0.5000 0.5000 0.0000
```

***

Entry 18:
Here is a relaxed La2HfCdAs crystal from Alexandria via LeMat-Bulk. Energies are from PBE.

## Properties
Its symmetry is P4/mmm (123). The density of states at the Fermi level comes out at 1.519 states/eV/atom. Its electronic total energy is -4.50 eV per atom. The mass density is 6.4 Mg/m³.

```
La2HfCdAs
1.0
-2.3775 1.8350 -4.7421
-4.1959 -3.1428 0.8875
-2.4967 4.1391 2.8533
As Cd La Hf
1 1 2 1
Direct
0.5000 0.5000 0.5000
0.0000 0.5000 0.0000
0.0000 0.0000 0.5000
0.5000 0.0000 0.0000
0.0000 0.0000 0.0000
```

***

Entry 19:
Here is a relaxed HfCdAsN2 crystal from Alexandria via LeMat-Bulk. Energies are from PBE.

## Properties
Its symmetry is P4/mmm (123). The density of states at the Fermi level comes out at 0.855 states/eV/atom. The value obtained for the uncorrected formation energy is 1.409 eV/atom. Its electronic total energy is -5.02 eV per atom. The mass density is 7.7 Mg/m³.

```
HfCdAsN2
1.0
4.0532 0.0000 0.0000
0.0000 5.2021 0.0000
0.0000 0.0000 4.0532
Hf N As Cd
1 2 1 1
Direct
0.0000 0.5000 0.0000
0.5000 0.0000 0.0000
0.0000 0.0000 0.5000
0.0000 0.0000 0.0000
0.5000 0.5000 0.5000
```

***

Entry 20:
Here is a relaxed HfCd2NiAs crystal from Alexandria via LeMat-Bulk. Energies are from PBE.

## Properties
Its symmetry is P4/mmm (123). The density of states at the Fermi level comes out at 0.509 states/eV/atom. Its electronic total energy is -4.06 eV per atom. The mass density is 8.5 Mg/m³.

```
HfCd2NiAs
1.0
4.8750 0.0000 0.0000
0.0000 4.4108 0.0000
0.0000 0.0000 4.8750
Cd As Hf Ni
2 1 1 1
Direct
0.0000 0.0000 0.5000
0.5000 0.0000 0.0000
0.0000 0.5000 0.0000
0.5000 0.5000 0.5000
0.0000 0.0000 0.0000
```